# 1
## LaPuGa2 (GGA-PBE)

Data for a relaxed structure of LaPuGa2.

It has space group P4/mmm (No. 123), with a = 3.344 Å, b = 3.344 Å, c = 8.647 Å, α = 90.00°, β = 90.00° and γ = 90.00°. The distinct sites, in fractional coordinates, are La at (0.000, 0.000, 0.000), Pu at (0.000, 0.000, 0.500) and Ga at (0.500, 0.500, 0.261).

The calculation puts the total energy at -6.71 eV/atom. Its relative energy among the computed polymorphs is 0.000 eV/atom. As for the density of states at the Fermi level: 7.6 states/eV/cell. For the mass density, the calculation gives 9.0 g/cm³. For the total magnetization, the calculation gives 5.7 μB/cell.


# 2
## La2Hg3Pt (GGA-PBE)

Data for a relaxed structure of La2Hg3Pt.

It has space group Pmm2 (No. 25), with a = 3.679 Å, b = 4.956 Å, c = 8.574 Å, α = 90.00°, β = 90.00° and γ = 90.00°. The distinct sites, in fractional coordinates, are La at (0.000, 0.000, 0.000), La at (0.000, 0.500, 0.438), Hg at (0.500, 0.000, 0.620), Hg at (0.500, 0.500, 0.127), Hg at (0.500, 0.500, 0.790) and Pt at (0.500, 0.000, 0.288).

The calculation puts the total energy at -3.45 eV/atom. As for the density of states at the Fermi level: 3.9 states/eV/cell. For the mass density, the calculation gives 11.4 g/cm³. For the total magnetization, the calculation gives 0.0 μB/cell.


# 3
## ReAgOs (GGA-PBE)

Data for a relaxed structure of ReAgOs.

It has space group I4mm (No. 107), with a = 2.850 Å, b = 2.850 Å, c = 11.811 Å, α = 90.00°, β = 90.00° and γ = 90.00°. The distinct sites, in fractional coordinates, are Re at (0.000, 0.000, 0.000), Ag at (0.000, 0.000, 0.683) and Os at (0.000, 0.000, 0.366).

The calculation puts the total energy at -8.41 eV/atom. Its relative energy among the computed polymorphs is 0.155 eV/atom. As for the density of states at the Fermi level: 5.1 states/eV/cell. For the mass density, the calculation gives 16.8 g/cm³. For the total magnetization, the calculation gives 0.0 μB/cell.


# 4
## Tm2ScPaS4 (GGA-PBE)

Data for a relaxed structure of Tm2ScPaS4.

It has space group P2/m (No. 10), with a = 6.625 Å, b = 3.792 Å, c = 6.653 Å, α = 90.00°, β = 108.93° and γ = 90.00°. The distinct sites, in fractional coordinates, are Tm at (0.000, 0.000, 0.000), Tm at (0.000, 0.500, 0.500), Sc at (0.500, 0.000, 0.500), Pa at (0.500, 0.500, 0.000), S at (0.247, 0.000, 0.740) and S at (0.254, 0.500, 0.259).

The calculation puts the total energy at -6.97 eV/atom. As for the density of states at the Fermi level: 5.4 states/eV/cell. For the mass density, the calculation gives 7.8 g/cm³. Its formation energy (no corrections) is -1806 meV/atom. For the total magnetization, the calculation gives 0.0 μB/cell.


# 5
## LaNiHg2Pb (GGA-PBE)

Data for a relaxed structure of LaNiHg2Pb.

It has space group P4/mmm (No. 123), with a = 5.016 Å, b = 5.016 Å, c = 5.108 Å, α = 90.00°, β = 90.00° and γ = 90.00°. The distinct sites, in fractional coordinates, are La at (0.000, 0.000, 0.000), Ni at (0.500, 0.500, 0.500), Hg at (0.000, 0.500, 0.500) and Pb at (0.500, 0.500, 0.000).

The calculation puts the total energy at -3.18 eV/atom. Its relative energy among the computed polymorphs is 0.052 eV/atom. As for the density of states at the Fermi level: 3.2 states/eV/cell. For the mass density, the calculation gives 10.4 g/cm³. For the total magnetization, the calculation gives 0.0 μB/cell.


# 6
## LiMnTe2 (GGA-PBE)

Data for a relaxed structure of LiMnTe2.

It has space group Pmm2 (No. 25), with a = 3.500 Å, b = 4.108 Å, c = 7.280 Å, α = 90.00°, β = 90.00° and γ = 90.00°. The distinct sites, in fractional coordinates, are Li at (0.000, 0.000, 0.000), Mn at (0.500, 0.500, 0.258), Te at (0.000, 0.000, 0.388) and Te at (0.500, 0.500, 0.889).

The calculation puts the total energy at -4.69 eV/atom. As for the density of states at the Fermi level: 1.4 states/eV/cell. For the mass density, the calculation gives 5.0 g/cm³. Its formation energy (no corrections) is -349 meV/atom. For the total magnetization, the calculation gives 4.3 μB/cell.


# 7
## Ac12Pm3Tm (GGA-PBE)

Data for a relaxed structure of Ac12Pm3Tm.

It has space group P4/mmm (No. 123), with a = 5.512 Å, b = 5.512 Å, c = 22.016 Å, α = 90.00°, β = 90.00° and γ = 90.00°. The distinct sites, in fractional coordinates, are Ac at (0.000, 0.000, 0.000), Ac at (0.000, 0.000, 0.249), Ac at (0.000, 0.000, 0.500), Ac at (0.000, 0.500, 0.123), Ac at (0.000, 0.500, 0.374), Pm at (0.500, 0.500, 0.249), Pm at (0.500, 0.500, 0.500) and Tm at (0.500, 0.500, 0.000).

The calculation puts the total energy at -4.22 eV/atom. As for the density of states at the Fermi level: 25.4 states/eV/cell. For the mass density, the calculation gives 8.3 g/cm³. For the total magnetization, the calculation gives 0.0 μB/cell.


# 8
## Sm8HoSn6 (GGA-PBE)

Data for a relaxed structure of Sm8HoSn6.

It has space group R-3 (No. 148, hexagonal axes), with a = 9.2137 Å, b = 9.2137 Å, c = 19.6877 Å, α = 90.00°, β = 90.00° and γ = 120.00°. The distinct sites, in fractional coordinates, are Sm at (0.0000, 0.0000, 0.1663), Sm at (0.0007, 0.6646, 0.3954), Ho at (0.0000, 0.0000, 0.5000) and Sn at (0.9996, 0.3291, 0.4329).

The calculation puts the total energy at -4.98 eV/atom. As for the density of states at the Fermi level: 28.1 states/eV/cell. For the mass density, the calculation gives 7.2 g/cm³. For the total magnetization, the calculation gives 0.0 μB/cell.


# 9
## EuY2In (GGA-PBE)

Data for a relaxed structure of EuY2In.

It has space group P4/mmm (No. 123), with a = 4.992 Å, b = 4.992 Å, c = 4.815 Å, α = 90.00°, β = 90.00° and γ = 90.00°. The distinct sites, in fractional coordinates, are Eu at (0.000, 0.000, 0.000), Y at (0.000, 0.500, 0.500) and In at (0.500, 0.500, 0.000).

The calculation puts the total energy at -6.71 eV/atom. Its relative energy among the computed polymorphs is 0.000 eV/atom. As for the density of states at the Fermi level: 3.9 states/eV/cell. For the mass density, the calculation gives 6.2 g/cm³. For the total magnetization, the calculation gives 7.7 μB/cell.


# 10
## LiAc4Mg2 (GGA-PBE)

Data for a relaxed structure of LiAc4Mg2.

It has space group R-3m (No. 166, hexagonal axes), with a = 5.7611 Å, b = 5.7611 Å, c = 27.9139 Å, α = 90.00°, β = 90.00° and γ = 120.00°. The distinct sites, in fractional coordinates, are Li at (0.0000, 0.0000, 0.0000), Ac at (0.0000, 0.0000, 0.1273), Ac at (0.0000, 0.0000, 0.3790) and Mg at (0.0000, 0.0000, 0.2536).

The calculation puts the total energy at -2.96 eV/atom. As for the density of states at the Fermi level: 29.9 states/eV/cell. For the mass density, the calculation gives 6.0 g/cm³. For the total magnetization, the calculation gives 0.0 μB/cell.


# 11
## Y2SiHg (GGA-PBE)

Data for a relaxed structure of Y2SiHg.

It has space group P4mm (No. 99), with a = 4.230 Å, b = 4.230 Å, c = 6.004 Å, α = 90.00°, β = 90.00° and γ = 90.00°. The distinct sites, in fractional coordinates, are Y at (0.000, 0.000, 0.000), Y at (0.500, 0.500, 0.497), Si at (0.500, 0.500, 0.998) and Hg at (0.000, 0.000, 0.500).

The calculation puts the total energy at -5.01 eV/atom. As for the density of states at the Fermi level: 4.8 states/eV/cell. For the mass density, the calculation gives 6.3 g/cm³. Its formation energy (no corrections) is -343 meV/atom. For the total magnetization, the calculation gives 0.0 μB/cell.


# 12
## PmDyRhPb (GGA-PBE)

Data for a relaxed structure of PmDyRhPb.

It has space group F-43m (No. 216), with a = 7.374 Å, b = 7.374 Å, c = 7.374 Å, α = 90.00°, β = 90.00° and γ = 90.00°. The distinct sites, in fractional coordinates, are Pm at (0.000, 0.000, 0.000), Dy at (0.000, 0.000, 0.500), Rh at (0.250, 0.250, 0.750) and Pb at (0.250, 0.250, 0.250).

The calculation puts the total energy at -5.58 eV/atom. As for the density of states at the Fermi level: 13.0 states/eV/cell. For the mass density, the calculation gives 10.2 g/cm³. For the total magnetization, the calculation gives 0.0 μB/cell.


# 13
## Rb2CaAsF6 (GGA-PBE)

Data for a relaxed structure of Rb2CaAsF6.

It has space group I4/mmm (No. 139), with a = 6.598 Å, b = 6.598 Å, c = 8.659 Å, α = 90.00°, β = 90.00° and γ = 90.00°. The distinct sites, in fractional coordinates, are Rb at (0.000, 0.500, 0.250), Ca at (0.000, 0.000, 0.000), As at (0.000, 0.000, 0.500), F at (0.000, 0.000, 0.263) and F at (0.240, 0.240, 0.000).

The calculation puts the total energy at -4.60 eV/atom. As for the density of states at the Fermi level: 18.8 states/eV/cell. For the mass density, the calculation gives 3.5 g/cm³. Its formation energy (no corrections) is -2615 meV/atom. For the total magnetization, the calculation gives 2.0 μB/cell.


# 14
## KNaAsF6 (GGA-PBE)

Data for a relaxed structure of KNaAsF6.

It has space group P312 (No. 149), with a = 5.7600 Å, b = 5.7600 Å, c = 5.4633 Å, α = 90.00°, β = 90.00° and γ = 120.00°. The distinct sites, in fractional coordinates, are K at (0.0000, 0.0000, 0.0000), Na at (0.3333, 0.6667, 0.5000), As at (0.6667, 0.3333, 0.5000) and F at (0.3977, 0.0518, 0.6999).

The calculation puts the total energy at -4.45 eV/atom. As for the density of states at the Fermi level: 3.1 states/eV/cell. For the mass density, the calculation gives 2.7 g/cm³. Its formation energy (no corrections) is -2419 meV/atom. For the total magnetization, the calculation gives 1.0 μB/cell.


# 15
## TlS2NF (GGA-PBE)

Data for a relaxed structure of TlS2NF.

It has space group P4/mmm (No. 123), with a = 5.338 Å, b = 5.338 Å, c = 4.476 Å, α = 90.00°, β = 90.00° and γ = 90.00°. The distinct sites, in fractional coordinates, are Tl at (0.000, 0.000, 0.000), S at (0.000, 0.500, 0.000), N at (0.000, 0.000, 0.500) and F at (0.500, 0.500, 0.500).

The calculation puts the total energy at -2.79 eV/atom. Its relative energy among the computed polymorphs is 0.213 eV/atom. As for the density of states at the Fermi level: 2.3 states/eV/cell. For the mass density, the calculation gives 3.9 g/cm³. Its formation energy (no corrections) is 1375 meV/atom. For the total magnetization, the calculation gives 5.1 μB/cell.


# 16
## SmCrSe2 (GGA-PBE)

Data for a relaxed structure of SmCrSe2.

It has space group R-3m (No. 166, hexagonal axes), with a = 4.1415 Å, b = 4.1415 Å, c = 18.7080 Å, α = 90.00°, β = 90.00° and γ = 120.00°. The distinct sites, in fractional coordinates, are Sm at (0.0000, 0.0000, 0.0000), Cr at (0.0000, 0.0000, 0.5000) and Se at (0.0000, 0.0000, 0.2417).

The calculation puts the total energy at -6.34 eV/atom. As for the density of states at the Fermi level: 10.7 states/eV/cell. For the mass density, the calculation gives 6.5 g/cm³. Its formation energy (no corrections) is -1010 meV/atom. For the total magnetization, the calculation gives 13.1 μB/cell.


# 17
## MnTl2Fe (GGA-PBE)

Data for a relaxed structure of MnTl2Fe.

It has space group Fm-3m (No. 225), with a = 6.432 Å, b = 6.432 Å, c = 6.432 Å, α = 90.00°, β = 90.00° and γ = 90.00°. The distinct sites, in fractional coordinates, are Mn at (0.000, 0.000, 0.000), Tl at (0.250, 0.250, 0.250) and Fe at (0.000, 0.000, 0.500).

The calculation puts the total energy at -4.57 eV/atom. Its relative energy among the computed polymorphs is 0.539 eV/atom. As for the density of states at the Fermi level: 75.5 states/eV/cell. For the mass density, the calculation gives 13.0 g/cm³. For the total magnetization, the calculation gives 0.0 μB/cell.


# 18
## AcLa2Tb2Sm2 (GGA-PBE)

Data for a relaxed structure of AcLa2Tb2Sm2.

It has space group C2/m (No. 12), with a = 11.705 Å, b = 5.235 Å, c = 8.268 Å, α = 90.00°, β = 98.19° and γ = 90.00°. The distinct sites, in fractional coordinates, are Ac at (0.000, 0.000, 0.000), La at (0.215, 0.500, 0.149), Tb at (0.074, 0.500, 0.705) and Sm at (0.141, 0.000, 0.431).

The calculation puts the total energy at -4.63 eV/atom. As for the density of states at the Fermi level: 25.5 states/eV/cell. For the mass density, the calculation gives 7.4 g/cm³. For the total magnetization, the calculation gives 0.0 μB/cell.


# 19
## K3Ca4F12 (GGA-PBE)

Data for a relaxed structure of K3Ca4F12.

It has space group Im-3 (No. 204), with a = 8.907 Å, b = 8.907 Å, c = 8.907 Å, α = 90.00°, β = 90.00° and γ = 90.00°. The distinct sites, in fractional coordinates, are K at (0.000, 0.000, 0.500), Ca at (0.250, 0.250, 0.250) and F at (0.000, 0.292, 0.227).

The calculation puts the total energy at -5.11 eV/atom. As for the density of states at the Fermi level: 55.4 states/eV/cell. For the mass density, the calculation gives 2.4 g/cm³. Its formation energy (no corrections) is -3331 meV/atom. For the total magnetization, the calculation gives 2.8 μB/cell.


# 20
## SrTcAsSe2 (GGA-PBE)

Data for a relaxed structure of SrTcAsSe2.

It has space group P4/mmm (No. 123), with a = 5.207 Å, b = 5.207 Å, c = 4.688 Å, α = 90.00°, β = 90.00° and γ = 90.00°. The distinct sites, in fractional coordinates, are Sr at (0.000, 0.000, 0.000), Tc at (0.500, 0.500, 0.500), As at (0.500, 0.500, 0.000) and Se at (0.000, 0.500, 0.500).

The calculation puts the total energy at -5.18 eV/atom. Its relative energy among the computed polymorphs is 0.000 eV/atom. As for the density of states at the Fermi level: 2.9 states/eV/cell. For the mass density, the calculation gives 5.5 g/cm³. Its formation energy (no corrections) is -449 meV/atom. For the total magnetization, the calculation gives 2.0 μB/cell.